Entry from the Alexandria database: a relaxed structure of Tb8Pr2Sm (PBE).

Properties
space group = No. 12
calculated total energy = -4.512 eV/atom
energy of formation from the pure elements = 0.15 eV per atom
relative energy among the computed polymorphs = 135 meV/atom

Unit cell a=9.2903 b=9.2903 c=5.9602 alpha=105.45 beta=105.45 gamma=121.38
Fractional positions:
Tb1 0.0991 0.3302 0.6735
Tb2 0.2075 0.7925 0.0000
Tb3 0.3302 0.0991 0.6735
Tb4 0.4262 0.4262 0.2042
Tb5 0.5738 0.5738 0.7958
Tb6 0.6698 0.9009 0.3265
Tb7 0.7925 0.2075 0.0000
Tb8 0.9009 0.6698 0.3265
Pr1 0.3064 0.6936 0.5000
Pr2 0.6936 0.3064 0.5000
Sm1 0.0000 0.0000 0.0000